[1]
The following is a DFT calculation (PBEsol) of an optimized crystal structure of LiAs.

Unit cell a=4.1308 b=4.1308 c=5.0187 alpha=90.00 beta=90.00 gamma=120.00
Fractional coordinates of all 4 atoms:
As1 0.0000 0.0000 0.0000
As2 0.0000 0.0000 0.5000
Li1 0.6667 0.3333 0.7500
Li2 0.3333 0.6667 0.2500

***

[2]
The following is a DFT calculation (PBEsol) of an optimized crystal structure of Li4As.

Unit cell a=4.1480 b=4.7285 c=4.7285 alpha=78.91 beta=63.98 gamma=63.98
Fractional coordinates of all 5 atoms:
As1 0.0000 0.0000 0.0000
Li1 0.6181 0.1678 0.5960
Li2 0.7859 0.5960 0.8322
Li3 0.3819 0.8322 0.4039
Li4 0.2141 0.4039 0.1678

***

[3]
The following is a DFT calculation (PBEsol) of an optimized crystal structure of LiAs.

Unit cell a=2.9692 b=4.4356 c=4.9500 alpha=90.00 beta=90.00 gamma=90.00
Fractional coordinates of all 4 atoms:
As1 0.5000 0.6355 0.7500
As2 0.5000 0.3645 0.2500
Li1 0.0000 0.1504 0.7500
Li2 0.0000 0.8496 0.2500

***

[4]
The following is a DFT calculation (PBEsol) of an optimized crystal structure of LiAs.

Unit cell a=3.9650 b=4.9122 c=6.4813 alpha=76.96 beta=72.19 gamma=66.20
Fractional coordinates of all 6 atoms:
As1 0.0332 0.8777 0.0559
As2 0.3458 0.9731 0.3352
As3 0.3472 0.6279 0.6778
Li1 0.6318 0.0389 0.6975
Li2 0.0264 0.5227 0.4246
Li3 0.7823 0.4597 0.9757

***

[5]
The following is a DFT calculation (PBEsol) of an optimized crystal structure of LiAs.

Unit cell a=3.4933 b=5.1705 c=7.9221 alpha=90.00 beta=90.00 gamma=90.00
Fractional coordinates of all 8 atoms:
As1 0.7500 0.8817 0.5795
As2 0.2500 0.3817 0.9205
As3 0.7500 0.6183 0.0795
As4 0.2500 0.1183 0.4205
Li1 0.7500 0.3797 0.6398
Li2 0.2500 0.8797 0.8602
Li3 0.7500 0.1203 0.1398
Li4 0.2500 0.6203 0.3602

***

[6]
The following is a DFT calculation (PBEsol) of an optimized crystal structure of LiAs2.

Unit cell a=3.6223 b=5.2872 c=6.6018 alpha=90.00 beta=105.92 gamma=90.00
Fractional coordinates of all 6 atoms:
As1 0.6448 0.7500 0.2897
As2 0.0145 0.7500 0.0290
As3 0.9855 0.2500 0.9710
As4 0.3552 0.2500 0.7103
Li1 0.3168 0.7500 0.6337
Li2 0.6832 0.2500 0.3663

***

Which DFT formation energy belongs to each record? In order, -345, -464, -405, -407, -438, -239 meV/atom.
Which total DFT energy (no corrections) belongs to each record? In order, -3.8817, -3.0590, -3.9419, -3.9432, -3.9743, -4.2991 eV per atom.